Entry from the Alexandria database: crystalline Ho5Sb2Pb at its relaxed geometry (PBE).

```
Ho5Sb2Pb
1.0
5.9023 0.0000 0.0000
-2.9511 5.7922 0.0000
0.0000 0.0000 14.2693
Ho Sb Pb
10 4 2
Direct
0.9267 0.8534 0.8984 Ho
0.9267 0.8534 0.6016 Ho
0.3778 0.7555 0.4496 Ho
0.3778 0.7555 0.0504 Ho
0.6001 0.2003 0.2500 Ho
0.3999 0.7997 0.7500 Ho
0.6222 0.2445 0.5504 Ho
0.6222 0.2445 0.9496 Ho
0.0733 0.1466 0.1016 Ho
0.0733 0.1466 0.3984 Ho
0.8043 0.6086 0.3950 Sb
0.8043 0.6086 0.1050 Sb
0.1957 0.3914 0.6050 Sb
0.1957 0.3914 0.8950 Sb
0.7171 0.4341 0.7500 Pb
0.2829 0.5659 0.2500 Pb
```

Calculated values
- total moment (μB/atom) = 0.00
- E_tot (eV/atom) = -4.7377